# TlAg6Pd12

A relaxed structure of TlAg6Pd12 (PBE, Alexandria).

Cell: 7.551 7.551 7.551 Å, 110.91 110.91 110.91°
Fractional positions:
Tl  0.000  0.000  0.000
Ag  0.054  0.580  0.370
Ag  0.370  0.054  0.580
Ag  0.420  0.630  0.946
Ag  0.580  0.370  0.054
Ag  0.630  0.946  0.420
Ag  0.946  0.420  0.630
Pd  0.104  0.156  0.734
Pd  0.156  0.734  0.104
Pd  0.212  0.316  0.475
Pd  0.266  0.896  0.844
Pd  0.316  0.475  0.212
Pd  0.475  0.212  0.316
Pd  0.525  0.788  0.684
Pd  0.684  0.525  0.788
Pd  0.734  0.104  0.156
Pd  0.788  0.684  0.525
Pd  0.844  0.266  0.896
Pd  0.896  0.844  0.266

Output
- DFT total energy: -4.367 eV per atom
- Excess energy over the best structure of this formula in the dataset: 0.00 eV per formula unit
- DOS(E_F): 0.8279 states/eV/atom